LaMnW2 | GGA-PBE | relaxed

Calculated values
**ΔE to the lowest computed polymorph**: 0.78 eV/f.u.
**Formation energy from the elements**: 596 meV per atom
**Mass density**: 13.05 g/cm³
**DFT total energy**: -9.41 eV/atom

Cell: 3.208 4.693 9.492 Å, 90.00 90.00 90.00°
Sites, in units of the cell vectors:
La (0.000, 0.000, 0.000)
La (0.500, 0.500, 0.000)
Mn (0.000, 0.000, 0.500)
Mn (0.500, 0.500, 0.500)
W (0.000, 0.500, 0.296)
W (0.000, 0.500, 0.704)
W (0.500, 0.000, 0.296)
W (0.500, 0.000, 0.704)

=====

Tl2Sn4Pb | GGA-PBE | relaxed

Calculated values
**Formation energy from the elements**: 105 meV per atom
**Mass density**: 8.25 g/cm³
**DFT total energy**: -3.39 eV/atom

Cell: 9.068 10.472 6.445 Å, 90.00 134.14 90.00°
Sites, in units of the cell vectors:
Tl (0.000, 0.000, 0.000)
Tl (0.000, 0.499, 0.500)
Tl (0.500, 0.500, 0.000)
Tl (0.500, 0.999, 0.500)
Sn (0.248, 0.749, 0.498)
Sn (0.249, 0.250, 0.000)
Sn (0.251, 0.750, 0.000)
Sn (0.252, 0.249, 0.502)
Sn (0.748, 0.249, 0.498)
Sn (0.749, 0.750, 0.000)
Sn (0.751, 0.250, 0.000)
Sn (0.752, 0.749, 0.502)
Pb (0.000, 0.000, 0.500)
Pb (0.500, 0.500, 0.500)

=====

Ga2GeI | GGA-PBE | relaxed

Calculated values
**ΔE to the lowest computed polymorph**: 0.99 eV/f.u.
**Mass density**: 5.72 g/cm³
**DFT total energy**: -2.74 eV/atom

Cell: 7.329 7.329 7.329 Å, 90.00 90.00 90.00°
Sites, in units of the cell vectors:
Ga (0.250, 0.250, 0.250)
Ga (0.250, 0.250, 0.750)
Ga (0.250, 0.750, 0.250)
Ga (0.250, 0.750, 0.750)
Ga (0.750, 0.250, 0.250)
Ga (0.750, 0.250, 0.750)
Ga (0.750, 0.750, 0.250)
Ga (0.750, 0.750, 0.750)
Ge (0.000, 0.000, 0.000)
Ge (0.000, 0.500, 0.500)
Ge (0.500, 0.000, 0.500)
Ge (0.500, 0.500, 0.000)
I (0.000, 0.000, 0.500)
I (0.000, 0.500, 0.000)
I (0.500, 0.000, 0.000)
I (0.500, 0.500, 0.500)

=====

Cd2RePb | GGA-PBE | relaxed

Calculated values
**Formation energy from the elements**: 627 meV per atom
**Mass density**: 11.67 g/cm³
**DFT total energy**: -3.87 eV/atom

Cell: 3.021 3.021 9.639 Å, 90.00 90.00 90.00°
Sites, in units of the cell vectors:
Cd (0.000, 0.000, 0.207)
Cd (0.000, 0.000, 0.793)
Re (0.500, 0.500, 0.000)
Pb (0.500, 0.500, 0.500)

=====

Ac8HgIr3Br4 | GGA-PBE | relaxed

Calculated values
**Mass density**: 8.53 g/cm³
**DFT total energy**: -5.25 eV/atom

Cell: 8.928 8.928 9.704 Å, 117.43 117.43 60.00°
Sites, in units of the cell vectors:
Ac (0.211, 0.743, 0.696)
Ac (0.232, 0.232, 0.696)
Ac (0.257, 0.257, 0.304)
Ac (0.257, 0.789, 0.304)
Ac (0.743, 0.211, 0.696)
Ac (0.743, 0.743, 0.696)
Ac (0.768, 0.768, 0.304)
Ac (0.789, 0.257, 0.304)
Hg (0.500, 0.500, 0.500)
Ir (0.000, 0.000, 0.500)
Ir (0.000, 0.500, 0.500)
Ir (0.500, 0.000, 0.500)
Br (0.000, 0.000, 0.000)
Br (0.000, 0.500, 0.000)
Br (0.500, 0.000, 0.000)
Br (0.500, 0.500, 0.000)

=====

K2MnMo | GGA-PBE | relaxed

Calculated values
**ΔE to the lowest computed polymorph**: 2.44 eV/f.u.
**Formation energy from the elements**: 1417 meV per atom
**Mass density**: 4.07 g/cm³
**DFT total energy**: -4.13 eV/atom

Cell: 2.959 2.959 36.979 Å, 90.00 90.00 120.00°
Sites, in units of the cell vectors:
K (0.000, 0.000, 0.249)
K (0.000, 0.000, 0.751)
K (0.333, 0.667, 0.418)
K (0.333, 0.667, 0.916)
K (0.667, 0.333, 0.084)
K (0.667, 0.333, 0.582)
Mn (0.000, 0.000, 0.000)
Mn (0.333, 0.667, 0.667)
Mn (0.667, 0.333, 0.333)
Mo (0.000, 0.000, 0.500)
Mo (0.333, 0.667, 0.167)
Mo (0.667, 0.333, 0.833)

=====

K5Mg | GGA-PBE | relaxed

Calculated values
**ΔE to the lowest computed polymorph**: 0.71 eV/f.u.
**Formation energy from the elements**: 206 meV per atom
**Mass density**: 0.95 g/cm³
**DFT total energy**: -0.97 eV/atom

Cell: 8.167 8.167 8.167 Å, 60.00 60.00 60.00°
Sites, in units of the cell vectors:
K (0.000, 0.000, 0.000)
K (0.376, 0.376, 0.376)
K (0.376, 0.376, 0.873)
K (0.376, 0.873, 0.376)
K (0.873, 0.376, 0.376)
Mg (0.750, 0.750, 0.750)

=====

PmSm4Tl3 | GGA-PBE | relaxed

Calculated values
**Formation energy from the elements**: -238 meV per atom
**Mass density**: 9.28 g/cm³
**DFT total energy**: -4.08 eV/atom

Cell: 9.884 9.884 9.884 Å, 32.17 32.17 32.17°
Sites, in units of the cell vectors:
Pm (0.000, 0.000, 0.000)
Sm (0.131, 0.131, 0.131)
Sm (0.388, 0.388, 0.388)
Sm (0.612, 0.612, 0.612)
Sm (0.869, 0.869, 0.869)
Tl (0.265, 0.265, 0.265)
Tl (0.500, 0.500, 0.500)
Tl (0.735, 0.735, 0.735)

=====

Ca3Dy2HoTe6 | GGA-PBE | relaxed

Calculated values
**Mass density**: 6.24 g/cm³
**DFT total energy**: -4.67 eV/atom

Cell: 7.596 7.596 7.749 Å, 99.43 99.43 119.94°
Sites, in units of the cell vectors:
Ca (0.000, 0.000, 0.000)
Ca (0.333, 0.667, 0.000)
Ca (0.667, 0.333, 0.000)
Dy (0.166, 0.834, 0.500)
Dy (0.834, 0.166, 0.500)
Ho (0.500, 0.500, 0.500)
Te (0.086, 0.419, 0.256)
Te (0.249, 0.249, 0.745)
Te (0.419, 0.086, 0.256)
Te (0.581, 0.914, 0.744)
Te (0.751, 0.751, 0.255)
Te (0.914, 0.581, 0.744)

=====

Sr2Bi2Pd | GGA-PBE | relaxed

Calculated values
**ΔE to the lowest computed polymorph**: 0.62 eV/f.u.
**Formation energy from the elements**: -626 meV per atom
**Mass density**: 7.39 g/cm³
**DFT total energy**: -3.89 eV/atom

Cell: 7.897 7.897 5.042 Å, 90.00 90.00 90.00°
Sites, in units of the cell vectors:
Sr (0.167, 0.333, 0.000)
Sr (0.333, 0.833, 0.000)
Sr (0.667, 0.167, 0.000)
Sr (0.833, 0.667, 0.000)
Bi (0.147, 0.647, 0.500)
Bi (0.353, 0.147, 0.500)
Bi (0.647, 0.853, 0.500)
Bi (0.853, 0.353, 0.500)
Pd (0.000, 0.000, 0.500)
Pd (0.500, 0.500, 0.500)

=====

BaMgSc2 | GGA-PBE | relaxed

Calculated values
**Formation energy from the elements**: 355 meV per atom
**Mass density**: 3.51 g/cm³
**DFT total energy**: -3.69 eV/atom

Cell: 5.231 5.231 8.687 Å, 90.00 90.00 90.00°
Sites, in units of the cell vectors:
Ba (0.000, 0.000, 0.000)
Ba (0.500, 0.500, 0.500)
Mg (0.000, 0.000, 0.500)
Mg (0.500, 0.500, 0.000)
Sc (0.000, 0.500, 0.250)
Sc (0.000, 0.500, 0.750)
Sc (0.500, 0.000, 0.250)
Sc (0.500, 0.000, 0.750)

=====

La7Tb6Tm16 | GGA-PBE | relaxed

Calculated values
**Formation energy from the elements**: 210 meV per atom
**Mass density**: 8.04 g/cm³
**DFT total energy**: -4.40 eV/atom

Cell: 11.056 11.056 11.056 Å, 60.00 60.00 60.00°
Sites, in units of the cell vectors:
La (0.000, 0.000, 0.000)
La (0.000, 0.000, 0.500)
La (0.000, 0.500, 0.000)
La (0.000, 0.500, 0.500)
La (0.500, 0.000, 0.000)
La (0.500, 0.000, 0.500)
La (0.500, 0.500, 0.000)
Tb (0.227, 0.227, 0.773)
Tb (0.227, 0.773, 0.227)
Tb (0.227, 0.773, 0.773)
Tb (0.773, 0.227, 0.227)
Tb (0.773, 0.227, 0.773)
Tb (0.773, 0.773, 0.227)
Tm (0.149, 0.149, 0.149)
Tm (0.149, 0.149, 0.554)
Tm (0.149, 0.554, 0.149)
Tm (0.165, 0.612, 0.612)
Tm (0.388, 0.388, 0.388)
Tm (0.388, 0.388, 0.835)
Tm (0.388, 0.835, 0.388)
Tm (0.446, 0.851, 0.851)
Tm (0.554, 0.149, 0.149)
Tm (0.612, 0.165, 0.612)
Tm (0.612, 0.612, 0.165)
Tm (0.612, 0.612, 0.612)
Tm (0.835, 0.388, 0.388)
Tm (0.851, 0.446, 0.851)
Tm (0.851, 0.851, 0.446)
Tm (0.851, 0.851, 0.851)

=====

ScTl2Pb | GGA-PBE | relaxed

Calculated values
**Formation energy from the elements**: -91 meV per atom
**Mass density**: 10.39 g/cm³
**DFT total energy**: -3.78 eV/atom

Cell: 4.659 4.659 4.867 Å, 90.00 90.00 90.00°
Sites, in units of the cell vectors:
Sc (0.000, 0.000, 0.000)
Tl (0.000, 0.500, 0.500)
Tl (0.500, 0.000, 0.500)
Pb (0.500, 0.500, 0.000)

=====

LiTb3Ho2Se6 | GGA-PBE | relaxed

Calculated values
**Mass density**: 7.56 g/cm³
**DFT total energy**: -5.57 eV/atom

Cell: 7.015 7.015 7.049 Å, 99.59 99.59 120.12°
Sites, in units of the cell vectors:
Li (0.000, 0.000, 0.000)
Tb (0.167, 0.833, 0.500)
Tb (0.500, 0.500, 0.500)
Tb (0.833, 0.167, 0.500)
Ho (0.335, 0.665, 0.000)
Ho (0.665, 0.335, 0.000)
Se (0.080, 0.405, 0.242)
Se (0.243, 0.243, 0.760)
Se (0.405, 0.080, 0.242)
Se (0.595, 0.920, 0.758)
Se (0.757, 0.757, 0.240)
Se (0.920, 0.595, 0.758)

=====

CrHgRu | GGA-PBE | relaxed

Calculated values
**ΔE to the lowest computed polymorph**: 1.20 eV/f.u.
**Formation energy from the elements**: 734 meV per atom
**Mass density**: 10.80 g/cm³
**DFT total energy**: -5.67 eV/atom

Cell: 6.014 6.014 6.014 Å, 90.00 90.00 90.00°
Sites, in units of the cell vectors:
Cr (0.000, 0.000, 0.000)
Cr (0.000, 0.500, 0.500)
Cr (0.500, 0.000, 0.500)
Cr (0.500, 0.500, 0.000)
Hg (0.250, 0.250, 0.250)
Hg (0.250, 0.750, 0.750)
Hg (0.750, 0.250, 0.750)
Hg (0.750, 0.750, 0.250)
Ru (0.250, 0.250, 0.750)
Ru (0.250, 0.750, 0.250)
Ru (0.750, 0.250, 0.250)
Ru (0.750, 0.750, 0.750)

=====

Na3Er3SnSe8 | GGA-PBE | relaxed

Calculated values
**Mass density**: 5.38 g/cm³
**DFT total energy**: -4.71 eV/atom

Cell: 8.514 8.514 8.514 Å, 57.13 57.13 57.13°
Sites, in units of the cell vectors:
Na (0.000, 0.500, 0.500)
Na (0.500, 0.000, 0.500)
Na (0.500, 0.500, 0.000)
Er (0.000, 0.000, 0.500)
Er (0.000, 0.500, 0.000)
Er (0.500, 0.000, 0.000)
Sn (0.500, 0.500, 0.500)
Se (0.242, 0.242, 0.242)
Se (0.251, 0.736, 0.736)
Se (0.264, 0.264, 0.749)
Se (0.264, 0.749, 0.264)
Se (0.736, 0.251, 0.736)
Se (0.736, 0.736, 0.251)
Se (0.749, 0.264, 0.264)
Se (0.758, 0.758, 0.758)

=====

BaTaCu | GGA-PBE | relaxed

Calculated values
**ΔE to the lowest computed polymorph**: 0.60 eV/f.u.
**Formation energy from the elements**: 512 meV per atom
**Mass density**: 7.98 g/cm³
**DFT total energy**: -5.45 eV/atom

Cell: 5.262 4.710 6.567 Å, 90.00 102.66 90.00°
Sites, in units of the cell vectors:
Ba (0.227, 0.000, 0.402)
Ba (0.773, 0.500, 0.598)
Ta (0.401, 0.500, 0.016)
Ta (0.599, 0.000, 0.984)
Cu (0.085, 0.999, 0.921)
Cu (0.915, 0.499, 0.079)

=====

PtAuNO2 | GGA-PBE | relaxed

Calculated values
**Mass density**: 10.78 g/cm³
**DFT total energy**: -3.92 eV/atom

Cell: 4.113 4.113 3.987 Å, 90.00 90.00 90.00°
Sites, in units of the cell vectors:
Pt (0.000, 0.000, 0.000)
Au (0.500, 0.500, 0.500)
N (0.500, 0.500, 0.000)
O (0.000, 0.500, 0.500)
O (0.500, 0.000, 0.500)

=====

SrLa2InRh | GGA-PBE | relaxed

Calculated values
**ΔE to the lowest computed polymorph**: 0.12 eV/f.u.
**Formation energy from the elements**: -369 meV per atom
**Mass density**: 5.51 g/cm³
**DFT total energy**: -4.69 eV/atom

Cell: 5.494 5.494 5.819 Å, 90.00 90.00 90.00°
Sites, in units of the cell vectors:
Sr (0.000, 0.000, 0.000)
La (0.000, 0.500, 0.500)
La (0.500, 0.000, 0.500)
In (0.500, 0.500, 0.000)
Rh (0.000, 0.000, 0.500)

=====

HfPdRuAu | GGA-PBE | relaxed

Calculated values
**Formation energy from the elements**: -337 meV per atom
**Mass density**: 14.38 g/cm³
**DFT total energy**: -7.26 eV/atom

Cell: 6.458 6.458 6.458 Å, 90.00 90.00 90.00°
Sites, in units of the cell vectors:
Hf (0.000, 0.000, 0.000)
Hf (0.000, 0.500, 0.500)
Hf (0.500, 0.000, 0.500)
Hf (0.500, 0.500, 0.000)
Pd (0.250, 0.250, 0.750)
Pd (0.250, 0.750, 0.250)
Pd (0.750, 0.250, 0.250)
Pd (0.750, 0.750, 0.750)
Ru (0.250, 0.250, 0.250)
Ru (0.250, 0.750, 0.750)
Ru (0.750, 0.250, 0.750)
Ru (0.750, 0.750, 0.250)
Au (0.000, 0.000, 0.500)
Au (0.000, 0.500, 0.000)
Au (0.500, 0.000, 0.000)
Au (0.500, 0.500, 0.500)

=====

Pr4Ho3Mg | GGA-PBE | relaxed

Calculated values
**Formation energy from the elements**: -6 meV per atom
**Mass density**: 6.85 g/cm³
**DFT total energy**: -4.31 eV/atom

Cell: 3.663 3.663 19.552 Å, 90.00 90.00 90.00°
Sites, in units of the cell vectors:
Pr (0.000, 0.000, 0.114)
Pr (0.000, 0.000, 0.372)
Pr (0.000, 0.000, 0.628)
Pr (0.000, 0.000, 0.886)
Ho (0.500, 0.500, 0.243)
Ho (0.500, 0.500, 0.500)
Ho (0.500, 0.500, 0.757)
Mg (0.500, 0.500, 0.000)

=====

CaTmMgPt | GGA-PBE | relaxed

Calculated values
**Formation energy from the elements**: -524 meV per atom
**Mass density**: 7.76 g/cm³
**DFT total energy**: -4.05 eV/atom

Cell: 7.157 7.157 7.157 Å, 90.00 90.00 90.00°
Sites, in units of the cell vectors:
Ca (0.000, 0.000, 0.000)
Ca (0.000, 0.500, 0.500)
Ca (0.500, 0.000, 0.500)
Ca (0.500, 0.500, 0.000)
Tm (0.000, 0.000, 0.500)
Tm (0.000, 0.500, 0.000)
Tm (0.500, 0.000, 0.000)
Tm (0.500, 0.500, 0.500)
Mg (0.250, 0.250, 0.750)
Mg (0.250, 0.750, 0.250)
Mg (0.750, 0.250, 0.250)
Mg (0.750, 0.750, 0.750)
Pt (0.250, 0.250, 0.250)
Pt (0.250, 0.750, 0.750)
Pt (0.750, 0.250, 0.750)
Pt (0.750, 0.750, 0.250)

=====

CrNCl2 | GGA-PBE | relaxed

Calculated values
**ΔE to the lowest computed polymorph**: 0.00 eV/f.u.
**Mass density**: 3.74 g/cm³
**DFT total energy**: -4.25 eV/atom

Cell: 3.178 3.178 20.835 Å, 90.00 90.00 120.00°
Sites, in units of the cell vectors:
Cr (0.000, 0.000, 0.000)
Cr (0.333, 0.667, 0.667)
Cr (0.667, 0.333, 0.333)
N (0.000, 0.000, 0.500)
N (0.333, 0.667, 0.167)
N (0.667, 0.333, 0.833)
Cl (0.000, 0.000, 0.405)
Cl (0.000, 0.000, 0.595)
Cl (0.333, 0.667, 0.071)
Cl (0.333, 0.667, 0.262)
Cl (0.667, 0.333, 0.738)
Cl (0.667, 0.333, 0.929)

=====

Na3Pa3OsN8 | GGA-PBE | relaxed

Calculated values
**Mass density**: 7.62 g/cm³
**DFT total energy**: -8.12 eV/atom

Cell: 6.943 6.943 6.943 Å, 59.12 59.12 59.12°
Sites, in units of the cell vectors:
Na (0.000, 0.500, 0.500)
Na (0.500, 0.000, 0.500)
Na (0.500, 0.500, 0.000)
Pa (0.000, 0.000, 0.500)
Pa (0.000, 0.500, 0.000)
Pa (0.500, 0.000, 0.000)
Os (0.500, 0.500, 0.500)
N (0.232, 0.232, 0.232)
N (0.250, 0.714, 0.714)
N (0.286, 0.286, 0.750)
N (0.286, 0.750, 0.286)
N (0.714, 0.250, 0.714)
N (0.714, 0.714, 0.250)
N (0.750, 0.286, 0.286)
N (0.768, 0.768, 0.768)

=====

Q: Which size of the total moment values were calculated for the entries above? A: 1.41; 0.00; 0.00; 0.93; 0.00; 3.80; 0.00; 2.10; 0.00; 0.00; 1.63; 0.00; 0.00; 0.00; 2.02; 0.00; 0.00; 2.85; 0.00; 0.28; 0.00; 0.00; 0.00; 0.01, in μB/f.u..